# 1
## ScSiN2 (PBE)

Data for an optimized crystal structure of ScSiN2.

abc: 5.8970 5.8970 5.8970
angles: 32.69 32.69 32.69
Closest atoms and distances in Å follow each position.
Positions (direct):
1 Sc 0.0000 0.0000 0.0000  6 N 2.22
2 Si 0.5000 0.5000 0.5000  2 N 1.66
3 N 0.4009 0.4009 0.4009  1 Si 1.66
4 N 0.5991 0.5991 0.5991  1 Si 1.66

Values from the calculation:
Energy relative to the elements, uncorrected   -0.8027 eV/atom
Total moment   0.000 μB per formula unit
Symmetry   R-3m
Calculated volume   53.2 Å³ per cell

# 2
## PtCl2O (PBE)

Data for an optimized crystal structure of PtCl2O.

abc: 5.6655 5.6655 5.6655
angles: 110.81 110.81 106.83
Closest atoms and distances in Å follow each position.
Positions (direct):
1 Pt 0.0000 0.0000 0.0000  4 Cl 2.37
2 Pt 0.7500 0.2500 0.5000  4 Cl 2.37
3 Cl 0.1119 0.6250 0.9869  2 Pt 2.37, 2 O 2.48
4 Cl 0.3750 0.3619 0.4869  2 Pt 2.37, 2 O 2.48
5 Cl 0.6381 0.1250 0.0131  2 Pt 2.37, 2 O 2.48
6 Cl 0.8750 0.8881 0.5131  2 Pt 2.37, 2 O 2.48
7 O 0.2500 0.7500 0.5000  4 Cl 2.48
8 O 0.5000 0.5000 0.0000  4 Cl 2.48

Values from the calculation:
Energy relative to the elements, uncorrected   0.7942 eV/atom
Total moment   0.001 μB per formula unit
Symmetry   I-42d
Calculated volume   139.8 Å³ per cell

# 3
## Pm3NbGe5 (PBE)

Data for an optimized crystal structure of Pm3NbGe5.

abc: 8.8436 8.8436 5.8834
angles: 90.00 90.00 120.00
Closest atoms and distances in Å follow each position.
Positions (direct):
1 Pm 0.0000 0.3850 0.2500  9 Ge 3.01-3.15
2 Pm 0.0000 0.6150 0.7500  9 Ge 3.01-3.15
3 Pm 0.3850 0.0000 0.2500  9 Ge 3.01-3.15
4 Pm 0.3850 0.3850 0.7500  9 Ge 3.01-3.15
5 Pm 0.6150 0.0000 0.7500  9 Ge 3.01-3.15
6 Pm 0.6150 0.6150 0.2500  9 Ge 3.01-3.15
7 Nb 0.0000 0.0000 0.0000  6 Ge 2.72, 2 Nb 2.94
8 Nb 0.0000 0.0000 0.5000  6 Ge 2.72, 2 Nb 2.94
9 Ge 0.0000 0.2583 0.7500  2 Nb 2.72, 2 Pm 3.01
10 Ge 0.0000 0.7417 0.2500  2 Nb 2.72, 2 Pm 3.01
11 Ge 0.2583 0.0000 0.7500  2 Nb 2.72, 2 Pm 3.01
12 Ge 0.2583 0.2583 0.2500  2 Nb 2.72, 2 Pm 3.01
13 Ge 0.3333 0.6667 0.0000  2 Ge 2.94, 6 Pm 3.12
14 Ge 0.3333 0.6667 0.5000  2 Ge 2.94, 6 Pm 3.12
15 Ge 0.6667 0.3333 0.0000  2 Ge 2.94, 6 Pm 3.12
16 Ge 0.6667 0.3333 0.5000  2 Ge 2.94, 6 Pm 3.12
17 Ge 0.7417 0.0000 0.2500  2 Nb 2.72, 2 Pm 3.01
18 Ge 0.7417 0.7417 0.7500  2 Nb 2.72, 2 Pm 3.01

Values from the calculation:
Energy relative to the elements   -636 meV/atom
Total moment   0.000 μB per formula unit
Symmetry   P6_3/mcm
Calculated volume   398.5 Å³ per cell

DOS(E_F) readings, ordered: 1.52; 3.30; 7.02 states/eV/f.u.